# MnTc3Se PBE optimized geometry
data_MnTc3Se
_chemical_formula_sum 'Mn1 Tc3 Se1'
_cell_length_a 4.479
_cell_length_b 4.479
_cell_length_c 4.479
_cell_angle_alpha 90.00
_cell_angle_beta 90.00
_cell_angle_gamma 90.00
_space_group_name_H-M_alt 'P 1'
_space_group_IT_number 1
loop_
_space_group_symop_operation_xyz
'x,y,z'
loop_
_atom_site_label
_atom_site_type_symbol
_atom_site_fract_x
_atom_site_fract_y
_atom_site_fract_z
_atom_site_occupancy
Mn1 Mn 0.000 0.000 0.000 1
Tc1 Tc 0.000 0.500 0.500 1
Tc2 Tc 0.500 0.000 0.500 1
Tc3 Tc 0.500 0.500 0.000 1
Se1 Se 0.500 0.500 0.500 1
# DFT total energy ... -7.218 eV per atom
# Distance to the lowest polymorph of the same formula ... 0.2211 eV per atom
# Size of the total moment ... 0.2 μB/f.u.